! Zr2ReHg | Alexandria | GGA-PBE | optimized geometry; values from VASP
! Crystal system: monoclinic
! E_form in eV/atom: 0.027
! Total DFT energy (no corrections) in eV per atom: -7.4346
&SYSTEM
  ibrav = 0, nat = 4, ntyp = 3
/
ATOMIC_SPECIES
Hg 200.59 Hg.upf
Re 186.21 Re.upf
Zr 91.22 Zr.upf
ATOMIC_POSITIONS crystal
Hg 0.519 0.519 0.481
Re 0.259 0.259 0.241
Zr 0.974 0.974 0.026
Zr 0.747 0.747 0.752
CELL_PARAMETERS angstrom
-4.681 -3.124 -1.107
-4.197 -3.131 2.341
-4.026 2.334 0.569

***

! PmDy2Tm3 | Alexandria | GGA-PBE | optimized geometry; values from VASP
! Energy above the most stable polymorph in this dataset in eV/f.u.: 0.00
! Crystal system: monoclinic
! E_form in eV/atom: 0.007
! Total DFT energy (no corrections) in eV per atom: -4.5549
&SYSTEM
  ibrav = 0, nat = 12, ntyp = 3
/
ATOMIC_SPECIES
Pm 145.00 Pm.upf
Dy 162.50 Dy.upf
Tm 168.93 Tm.upf
ATOMIC_POSITIONS crystal
Pm 0.388 0.015 0.776
Pm 0.612 0.985 0.224
Dy 0.276 0.651 0.552
Dy 0.724 0.349 0.448
Dy 0.944 0.814 0.887
Dy 0.056 0.186 0.113
Tm 0.279 0.154 0.558
Tm 0.055 0.677 0.110
Tm 0.389 0.512 0.778
Tm 0.721 0.846 0.442
Tm 0.611 0.488 0.222
Tm 0.945 0.323 0.890
CELL_PARAMETERS angstrom
-0.865 2.959 -1.888
4.173 -4.694 -9.273
-10.049 -2.809 3.662

***

! MgCr2In | Alexandria | GGA-PBE | optimized geometry; values from VASP
! Crystal system: orthorhombic
! E_form in eV/atom: 0.297
! Total DFT energy (no corrections) in eV per atom: -5.5979
&SYSTEM
  ibrav = 0, nat = 4, ntyp = 3
/
ATOMIC_SPECIES
Cr 52.00 Cr.upf
In 114.82 In.upf
Mg 24.30 Mg.upf
ATOMIC_POSITIONS crystal
Cr 0.970 0.970 0.000
Cr 0.781 0.281 0.500
In 0.512 0.512 0.000
Mg 0.237 0.737 0.500
CELL_PARAMETERS angstrom
5.301 -0.022 -0.052
2.263 4.794 0.052
-3.244 -3.238 2.663

***

! Sm2AgB3Pt12 | Alexandria | GGA-PBE | optimized geometry; values from VASP
! Crystal system: trigonal
! E_form in eV/atom: -0.306
! Total DFT energy (no corrections) in eV per atom: -6.1288
&SYSTEM
  ibrav = 0, nat = 18, ntyp = 4
/
ATOMIC_SPECIES
Sm 150.36 Sm.upf
Ag 107.87 Ag.upf
B 10.81 B.upf
Pt 195.08 Pt.upf
ATOMIC_POSITIONS crystal
Sm 0.602 0.602 0.602
Sm 0.398 0.398 0.398
Ag 0.000 0.000 0.000
B 0.500 0.000 0.000
B 0.000 0.500 0.000
B 0.000 0.000 0.500
Pt 0.323 0.323 0.910
Pt 0.867 0.867 0.396
Pt 0.396 0.867 0.867
Pt 0.910 0.323 0.323
Pt 0.867 0.396 0.867
Pt 0.323 0.910 0.323
Pt 0.677 0.677 0.090
Pt 0.133 0.133 0.604
Pt 0.604 0.133 0.133
Pt 0.090 0.677 0.677
Pt 0.133 0.604 0.133
Pt 0.677 0.090 0.677
CELL_PARAMETERS angstrom
7.336 -0.378 -0.268
3.294 6.566 -0.268
3.294 1.918 6.285

***

! Ho2Tm5Sc | Alexandria | GGA-PBE | optimized geometry; values from VASP
! Energy above the most stable polymorph in this dataset in eV/f.u.: 0.00
! Crystal system: orthorhombic
! E_form in eV/atom: 0.008
! Total DFT energy (no corrections) in eV per atom: -4.7227
&SYSTEM
  ibrav = 0, nat = 8, ntyp = 3
/
ATOMIC_SPECIES
Ho 164.93 Ho.upf
Tm 168.93 Tm.upf
Sc 44.96 Sc.upf
ATOMIC_POSITIONS crystal
Ho 0.232 0.817 0.493
Ho 0.739 0.324 0.507
Tm 0.237 0.319 0.500
Tm 0.321 0.738 0.000
Tm 0.818 0.234 0.000
Tm 0.737 0.819 0.500
Tm 0.320 0.235 0.000
Sc 0.819 0.736 0.000
CELL_PARAMETERS angstrom
-2.132 0.243 -6.746
4.761 -4.827 2.035
-5.378 -1.229 3.513

***

! CaTe2Cl | Alexandria | GGA-PBE | optimized geometry; values from VASP
! Energy above the most stable polymorph in this dataset in eV/f.u.: 0.07
! Crystal system: orthorhombic
! ΔE_f (raw) in eV per atom: -1.063
! Total DFT energy (no corrections) in eV per atom: -3.5963
&SYSTEM
  ibrav = 0, nat = 4, ntyp = 3
/
ATOMIC_SPECIES
Ca 40.08 Ca.upf
Te 127.60 Te.upf
Cl 35.45 Cl.upf
ATOMIC_POSITIONS crystal
Ca 0.500 0.000 0.500
Te 0.000 0.000 0.000
Te 0.500 0.500 0.000
Cl 0.000 0.500 0.500
CELL_PARAMETERS angstrom
-0.358 -4.096 1.337
2.041 1.031 3.669
-5.355 1.319 2.608

***

Q: Which value of total DFT energy (no corrections) does entry 6 give?
A: -3.5963 eV per atom

***

Q: Among the records above, which one has the highest total DFT energy (no corrections)?
A: CaTe2Cl

***

Q: What is the total DFT energy (no corrections) in the third record?
A: -5.5979 eV per atom

***

Q: Which formula does entry 3 have?
A: MgCr2In